Record 1
Material: MnBO2
Method: DFT, PBE with a Hubbard U
State: optimized geometry

The structure in extended XYZ format:
```
8
Lattice="-2.2871 2.2871 3.5328 2.2871 -2.2871 3.5328 2.2871 2.2871 -3.5328" Properties=species:S:1:pos:R:3 pbc="T T T"
Mn 0.0000 0.0000 0.0000
Mn 0.0000 2.2871 1.7664
B 2.2871 0.0000 1.7664
B 0.0000 0.0000 3.5328
O 1.1435 -0.4685 2.6496
O 1.8186 1.1435 0.8832
O 1.1435 2.7556 -0.8832
O 0.4685 1.1435 4.4160
```

Summary:
DFT total energy	-7.25	eV per atom
space group	No. 122

***

Record 2
Material: Mn2BO4
Method: DFT, PBE with a Hubbard U
State: optimized geometry

The structure in extended XYZ format:
```
28
Lattice="3.3149 0.0000 0.0000 0.0000 9.6331 0.0000 -3.2079 0.0000 9.4245" Properties=species:S:1:pos:R:3 pbc="T T T"
Mn -0.7143 0.9378 3.0232
Mn -2.3183 3.8788 7.7354
Mn -0.8438 5.9548 5.3003
Mn 0.7602 8.4949 0.5881
Mn -0.6532 1.1382 8.8365
Mn 0.9507 3.6783 4.1242
Mn 2.4252 5.7544 1.6891
Mn 0.8213 8.6953 6.4013
B -0.5997 1.6404 5.9688
B 1.0042 3.1761 1.2566
B -0.8973 6.4570 8.1679
B 0.7067 7.9927 3.4557
O -0.8960 4.9235 3.6490
O -2.5000 9.5262 8.3613
O -0.4533 2.3286 4.7600
O 1.1506 2.4879 0.0477
O -0.8295 0.2984 5.9458
O 0.7744 4.5181 1.2335
O -0.9663 7.1400 6.9459
O 0.6376 7.3097 2.2337
O -0.5306 2.3234 7.1908
O 1.0733 2.4932 2.4786
O -0.6674 5.1150 8.1910
O 0.9365 9.3347 3.4787
O -1.0437 7.1452 9.3768
O 0.5603 7.3045 4.6645
O 2.6070 0.1069 1.0632
O 1.0030 4.7097 5.7755
```

Summary:
offset from the most stable computed form	0.0	meV per atom
space group	No. 14

***

Record 3
Material: Mn2BO4
Method: DFT, PBE with a Hubbard U
State: optimized geometry

The structure in extended XYZ format:
```
7
Lattice="-1.5282 1.5282 7.2952 1.5282 -1.5282 7.2952 1.5282 1.5282 -7.2952" Properties=species:S:1:pos:R:3 pbc="T T T"
Mn 0.0000 0.0000 2.4202
Mn 0.0000 0.0000 12.1701
B 0.0000 0.0000 7.2952
O 1.5282 0.0000 0.0000
O 0.0000 0.0000 4.7337
O 0.0000 1.5282 0.0000
O 0.0000 0.0000 9.8567
```

Summary:
offset from the most stable computed form	718.1	meV per atom
space group	No. 139

***

Record 4
Material: MnB2O4
Method: DFT, PBE with a Hubbard U
State: optimized geometry

The structure in extended XYZ format:
```
56
Lattice="7.2080 0.0000 0.0000 0.0000 7.5439 0.0000 -0.6366 0.0000 8.8398" Properties=species:S:1:pos:R:3 pbc="T T T"
Mn -0.0568 1.6327 1.0931
Mn -0.3751 2.1393 5.5129
Mn 2.9875 1.8251 5.6748
Mn 3.3059 1.9468 1.2550
Mn 3.2655 5.5971 7.5848
Mn 3.5838 5.7188 3.1649
Mn 6.9465 5.4047 3.3268
Mn 6.6282 5.9112 7.7467
B 1.2266 4.2918 1.2222
B 0.9083 7.0241 5.6421
B 1.2385 0.4851 3.2545
B 0.9202 3.2868 7.6744
B 1.7840 4.5284 5.4819
B 2.1023 6.7875 1.0621
B 1.6930 0.7345 7.8070
B 2.0113 3.0375 3.3871
B 4.5601 4.5065 5.4527
B 4.8784 6.8094 1.0328
B 4.4691 0.7565 7.7777
B 4.7874 3.0155 3.3578
B 5.6512 4.2571 1.1654
B 5.3328 7.0588 5.5852
B 5.6631 0.5199 3.1977
B 5.3448 3.2521 7.6175
O -0.1428 0.0535 2.8900
O -0.4611 3.7185 7.3098
O 0.8557 5.6424 5.1351
O 1.1740 5.6735 0.7153
O 1.4085 1.8743 2.7153
O 1.0901 1.8977 7.1352
O 1.6622 0.4425 0.2765
O 1.3439 3.3295 4.6963
O 1.5164 0.4471 4.6918
O 1.8347 3.3249 0.2720
O 1.9691 4.2332 2.5175
O 1.6508 7.0827 6.9374
O 1.8139 4.2047 6.9290
O 2.1323 7.1112 2.5091
O 3.1551 4.9554 5.1320
O 3.4734 6.3605 0.7121
O 3.0980 1.1835 8.1277
O 3.4163 2.5885 3.7078
O 4.4391 0.4327 6.3307
O 4.7575 3.3392 1.9108
O 4.9206 0.4612 1.9024
O 4.6023 3.3107 6.3223
O 4.7367 4.2190 8.5678
O 5.0550 7.0968 4.1479
O 5.2275 4.2144 4.1434
O 4.9092 7.1015 8.5633
O 5.4813 5.6463 1.7046
O 5.1629 5.6696 6.1244
O 5.3974 1.8704 8.1245
O 5.7157 1.9015 3.7046
O 7.0325 3.8254 1.5299
O 6.7142 7.4904 5.9498
```

Summary:
offset from the most stable computed form	0.0	meV per atom
space group	No. 14

***

Record 5
Material: MnB4O7
Method: DFT, PBE with a Hubbard U
State: optimized geometry

The structure in extended XYZ format:
```
24
Lattice="5.4873 -3.3599 0.0000 5.4873 3.3599 0.0000 0.0000 0.0000 5.2432" Properties=species:S:1:pos:R:3 pbc="T T T"
Mn 5.4873 1.8681 3.9324
Mn 5.4873 -1.8681 1.3108
B 4.1766 1.9849 1.3108
B 3.2153 0.0000 0.0000
B 3.2153 0.0000 2.6216
B 6.7980 1.9849 1.3108
B 4.1766 -1.9849 3.9324
B 7.7593 0.0000 0.0000
B 7.7593 0.0000 2.6216
B 6.7980 -1.9849 3.9324
O 5.4873 2.6888 1.3108
O 2.3653 0.1819 3.9324
O 4.0256 1.1896 0.1266
O 4.0256 1.1896 2.4949
O 2.3653 -0.1819 1.3108
O 6.9489 1.1896 0.1266
O 6.9489 1.1896 2.4949
O 4.0256 -1.1896 2.7482
O 4.0256 -1.1896 5.1165
O 8.6092 0.1819 3.9324
O 6.9489 -1.1896 2.7482
O 6.9489 -1.1896 5.1165
O 8.6092 -0.1819 1.3108
O 5.4873 -2.6888 3.9324
```

Summary:
offset from the most stable computed form	61.1	meV per atom
space group	No. 63

***

Record 6
Material: MnBO2
Method: DFT, PBE with a Hubbard U
State: optimized geometry

The structure in extended XYZ format:
```
4
Lattice="1.6594 0.9580 4.8046 -1.6594 0.9580 4.8046 0.0000 -1.9161 4.8046" Properties=species:S:1:pos:R:3 pbc="T T T"
Mn 0.0000 0.0000 0.0000
B 0.0000 0.0000 7.2070
O 0.0000 0.0000 5.8812
O 0.0000 0.0000 8.5327
```

Summary:
DFT total energy	-7.32	eV per atom
space group	No. 166

***

Record 7
Material: Mn3BO4
Method: DFT, PBE with a Hubbard U
State: optimized geometry

The structure in extended XYZ format:
```
16
Lattice="6.4747 0.0000 0.0000 0.0000 5.5646 0.0000 0.0000 0.0000 5.0785" Properties=species:S:1:pos:R:3 pbc="T T T"
Mn 0.0000 1.0191 0.0000
Mn 1.5270 3.6481 0.0198
Mn 1.7104 1.9164 2.5591
Mn 3.2373 4.5454 2.5393
Mn 4.7643 1.9164 2.5591
Mn 4.9477 3.6481 0.0198
B 0.0000 4.7211 2.4776
B 3.2373 0.8435 5.0169
O 0.0000 0.5900 2.9617
O 0.0000 4.7283 0.9828
O 1.2228 3.9897 2.9688
O 2.0146 1.5749 0.4296
O 3.2373 0.8362 3.5221
O 3.2373 4.9745 0.4224
O 4.4601 1.5749 0.4296
O 5.2519 3.9897 2.9688
```

Summary:
DFT total energy	-7.73	eV per atom
space group	No. 31

***

Record 8
Material: MnBO2
Method: DFT, PBE with a Hubbard U
State: optimized geometry

The structure in extended XYZ format:
```
16
Lattice="4.7269 0.0000 0.0000 0.0000 6.5086 0.0000 0.0000 0.0000 4.8362" Properties=species:S:1:pos:R:3 pbc="T T T"
Mn 0.4577 0.9743 0.0000
Mn 1.9058 4.2286 2.4181
Mn 2.8211 2.2800 0.0000
Mn 4.2692 5.5342 2.4181
B 0.2560 4.0740 0.0500
B 2.1074 0.8197 2.4681
B 2.6195 5.6889 0.0500
B 4.4709 2.4346 2.4681
O 0.0528 3.4475 3.5161
O 0.6194 1.2033 2.5568
O 1.7440 4.4576 0.1387
O 2.3107 0.1932 1.0980
O 2.4162 6.3153 3.5161
O 2.9829 2.0510 2.5568
O 4.1075 5.3053 0.1387
O 4.6742 3.0611 1.0980
```

Summary:
DFT total energy	-7.31	eV per atom
space group	No. 33

***

Record 9
Material: MnB2O4
Method: DFT, PBE with a Hubbard U
State: optimized geometry

The structure in extended XYZ format:
```
14
Lattice="0.0000 5.8468 6.0128 3.1566 0.0000 6.0128 3.1566 5.8468 0.0000" Properties=species:S:1:pos:R:3 pbc="T T T"
Mn 0.7891 1.4617 1.5032
Mn 5.5240 10.2318 10.5224
B 3.1566 2.9234 3.0064
B 1.5783 5.8468 3.0064
B 1.5783 2.9234 6.0128
B 3.1566 5.8468 6.0128
O 1.9586 2.6667 2.6967
O 4.3545 5.5901 5.7031
O 2.7762 6.1034 2.6967
O 2.7762 2.6667 6.3225
O 3.5369 9.0268 5.7031
O 3.5369 5.5901 9.3289
O 1.9586 6.1034 6.3225
O 4.3545 9.0268 9.3289
```

Summary:
offset from the most stable computed form	264.2	meV per atom
space group	No. 70

***

Record 10
Material: MnB4O7
Method: DFT, PBE with a Hubbard U
State: optimized geometry

The structure in extended XYZ format:
```
96
Lattice="8.2384 0.0000 0.0000 0.0000 8.8093 0.0000 0.0000 0.0000 14.1577" Properties=species:S:1:pos:R:3 pbc="T T T"
Mn 0.9938 0.9297 1.5963
Mn 0.9938 3.4750 8.6752
Mn 3.1254 5.3343 1.5963
Mn 3.1254 7.8797 8.6752
Mn 5.1130 0.9297 5.4825
Mn 5.1130 3.4750 12.5614
Mn 7.2446 5.3343 5.4825
Mn 7.2446 7.8797 12.5614
B 0.0356 5.0325 2.3207
B 0.0356 8.1815 9.3995
B 0.2286 1.4667 10.8298
B 0.2286 2.9380 3.7509
B 0.5136 6.2563 8.0233
B 0.5136 6.9577 0.9445
B 1.5628 1.2367 6.5290
B 1.5628 3.1680 13.6079
B 2.5564 5.6413 6.5290
B 2.5564 7.5727 13.6079
B 3.6056 1.8517 8.0233
B 3.6056 2.5530 0.9445
B 3.8906 5.8714 10.8298
B 3.8906 7.3426 3.7509
B 4.0836 0.6278 2.3207
B 4.0836 3.7769 9.3995
B 4.1548 5.0325 4.7582
B 4.1548 8.1815 11.8370
B 4.3479 1.4667 10.4067
B 4.3479 2.9380 3.3279
B 4.6328 6.2563 13.2132
B 4.6328 6.9577 6.1344
B 5.6820 1.2367 0.5498
B 5.6820 3.1680 7.6287
B 6.6756 5.6413 0.5498
B 6.6756 7.5727 7.6287
B 7.7248 1.8517 13.2132
B 7.7248 2.5530 6.1344
B 8.0098 5.8714 10.4067
B 8.0098 7.3426 3.3279
B 8.2028 0.6278 4.7582
B 8.2028 3.7769 11.8370
O 0.1477 5.3602 9.1760
O 0.1477 7.8538 2.0972
O 0.2756 1.5607 3.5547
O 0.2756 2.8440 10.6335
O 0.5717 0.6510 9.8016
O 0.5717 3.7537 2.7228
O 0.7213 2.1349 14.0240
O 0.7213 2.2698 6.9451
O 1.0540 5.7228 1.4830
O 1.0540 7.4912 8.5619
O 1.2214 0.4495 5.4845
O 1.2214 3.9552 12.5634
O 1.3594 5.4209 7.1847
O 1.3594 7.7931 0.1059
O 2.7598 1.0163 7.1847
O 2.7598 3.3884 0.1059
O 2.8978 4.8542 5.4845
O 2.8978 8.3598 12.5634
O 3.0652 1.3182 1.4830
O 3.0652 3.0865 8.5619
O 3.3980 6.5395 14.0240
O 3.3980 6.6745 6.9451
O 3.5475 5.0556 9.8016
O 3.5475 8.1584 2.7228
O 3.8437 5.9654 3.5547
O 3.8437 7.2486 10.6335
O 3.9715 0.9556 9.1760
O 3.9715 3.4491 2.0972
O 4.2669 5.3602 12.0605
O 4.2669 7.8538 4.9817
O 4.3948 1.5607 3.5242
O 4.3948 2.8440 10.6030
O 4.6909 0.6510 11.4349
O 4.6909 3.7537 4.3561
O 4.8405 2.1349 7.2125
O 4.8405 2.2698 0.1337
O 5.1733 5.7228 5.5958
O 5.1733 7.4912 12.6747
O 5.3406 0.4495 1.5943
O 5.3406 3.9552 8.6732
O 5.4786 5.4209 14.0518
O 5.4786 7.7931 6.9730
O 6.8790 1.0163 14.0518
O 6.8790 3.3884 6.9730
O 7.0170 4.8542 1.5943
O 7.0170 8.3598 8.6732
O 7.1844 1.3182 5.5958
O 7.1844 3.0865 12.6747
O 7.5172 6.5395 7.2125
O 7.5172 6.6745 0.1337
O 7.6668 5.0556 11.4349
O 7.6668 8.1584 4.3561
O 7.9629 5.9654 3.5242
O 7.9629 7.2486 10.6030
O 8.0907 0.9556 12.0605
O 8.0907 3.4491 4.9817
```

Summary:
offset from the most stable computed form	0.0	meV per atom
space group	No. 61

***

Record 11
Material: Mn2BO
Method: DFT, PBE with a Hubbard U
State: optimized geometry

The structure in extended XYZ format:
```
4
Lattice="0.0000 2.7996 2.7996 2.7996 0.0000 2.7996 2.7996 2.7996 0.0000" Properties=species:S:1:pos:R:3 pbc="T T T"
Mn 1.3998 1.3998 1.3998
Mn 4.1994 4.1994 4.1994
B 0.0000 0.0000 0.0000
O 2.7996 2.7996 2.7996
```

Summary:
offset from the most stable computed form	287.3	meV per atom
space group	No. 225

***

Record 12
Material: MnB2OsO
Method: DFT, PBE with a Hubbard U
State: optimized geometry

The structure in extended XYZ format:
```
5
Lattice="4.1154 0.0000 0.0000 0.0000 4.1154 0.0000 0.0000 0.0000 3.8912" Properties=species:S:1:pos:R:3 pbc="T T T"
Mn 0.0000 0.0000 0.0000
B 0.0000 2.0577 1.9456
B 2.0577 0.0000 1.9456
Os 2.0577 2.0577 1.9456
O 2.0577 2.0577 0.0000
```

Summary:
DFT total energy	-6.80	eV per atom
space group	No. 123

***

no.,total magnetic moment (Bohr magnetons per cell)
1,8.9
2,36.0
3,9.7
4,40.0
5,10.0
6,4.3
7,28.3
8,17.2
9,10.0
10,40.0
11,7.1
12,4.7